Density functional theory data (PBE) for a relaxed structure of ZnCd2W.

Values from the calculation:
V: 71 Å³/cell
Magnetization: 0.00 μB/cell
Electronic total energy: -3.50 eV/atom
Fermi-level density of states: 2.18 states/eV/cell

abc: 5.3300 5.3300 5.0488
angles: 75.26 75.26 31.12
Atoms (fractional coordinates):
Zn 0.2500 0.2500 0.2500
Cd 0.5078 0.5078 0.4988
Cd 0.9922 0.9922 0.0012
W 0.7500 0.7500 0.7500